1.
Crystalline Pm5Er2Te12 at its relaxed geometry. Source: the Alexandria database, functional PBE.

Results
The value obtained for the density is 6.24 Mg/m³. Its formation energy (no corrections) is -114.91 kJ/mol of atoms. The calculation puts the total energy at -4.906 eV/atom. As for the symmetry: C2/m, No. 12.

Cell lengths 8.324, 9.451, 10.017 Å; angles 101.75, 90.00, 116.13 degrees
Atoms (fractional coordinates):
Te (0.513, 0.026, 0.227)
Te (0.932, 0.365, 0.085)
Te (0.068, 0.635, 0.915)
Te (0.107, 0.707, 0.437)
Te (0.893, 0.293, 0.563)
Te (0.400, 0.293, 0.563)
Te (0.433, 0.365, 0.085)
Te (0.973, 0.946, 0.789)
Te (0.027, 0.054, 0.211)
Te (0.567, 0.635, 0.915)
Te (0.600, 0.707, 0.437)
Te (0.487, 0.974, 0.773)
Pm (0.710, 0.420, 0.355)
Pm (0.000, 0.000, 0.500)
Pm (0.290, 0.580, 0.645)
Pm (0.674, 0.348, 0.811)
Pm (0.326, 0.652, 0.189)
Er (0.745, 0.000, 0.000)
Er (0.255, 0.000, 0.000)

2.
Crystalline Pm2ErTe at its relaxed geometry. Source: the Alexandria database, functional PBE.

Results
The value obtained for the density is 7.24 Mg/m³. Its formation energy (no corrections) is -50.04 kJ/mol of atoms. The calculation puts the total energy at -4.820 eV/atom. As for the symmetry: R-3m, No. 166. The energy above the most stable polymorph in this dataset is 0.22 eV per formula unit.

Cell lengths 3.932, 3.932, 10.270 Å; angles 78.96, 78.96, 60.00 degrees
Atoms (fractional coordinates):
Er (0.500, 0.500, 0.500)
Pm (0.739, 0.739, 0.782)
Pm (0.261, 0.261, 0.218)
Te (0.000, 0.000, 0.000)

3.
Crystalline Pm2Er3Te6 at its relaxed geometry. Source: the Alexandria database, functional PBE.

Results
The value obtained for the density is 7.36 Mg/m³. Its formation energy (no corrections) is -134.87 kJ/mol of atoms. The calculation puts the total energy at -5.220 eV/atom. As for the symmetry: C2/m, No. 12.

Cell lengths 7.568, 7.534, 7.563 Å; angles 80.33, 70.45, 59.85 degrees
Atoms (fractional coordinates):
Te (0.096, 0.321, 0.753)
Te (0.264, 0.000, 0.244)
Te (0.904, 0.679, 0.247)
Te (0.583, 0.321, 0.247)
Te (0.417, 0.679, 0.753)
Te (0.736, 0.000, 0.756)
Pm (0.164, 0.673, 0.500)
Pm (0.836, 0.327, 0.500)
Er (0.000, 0.000, 0.000)
Er (0.671, 0.658, 0.000)
Er (0.329, 0.342, 0.000)